(1)
A plane-wave DFT calculation with PBEsol was carried out for a relaxed structure of CrBi3Cl.

POSCAR file:
```
CrBi3Cl
1.0
5.104 0.000 0.000
0.000 5.104 0.000
0.000 0.000 5.104
Bi Cr Cl
3 1 1
direct
0.000 0.000 0.500
0.000 0.500 0.000
0.500 0.000 0.000
0.000 0.000 0.000
0.500 0.500 0.500
```

Results
Total magnetization = 0.7 μB/f.u.
Raw formation energy = 0.2337 eV per atom
Symmetry = Pm-3m, No. 221

(2)
A plane-wave DFT calculation with PBEsol was carried out for a relaxed structure of Er2ReC2.

POSCAR file:
```
Er2ReC2
1.0
4.996 0.000 0.000
0.000 6.466 0.000
0.000 0.000 9.665
C Re Er
8 4 8
direct
0.250 0.051 0.259
0.750 0.327 0.446
0.250 0.673 0.554
0.250 0.551 0.241
0.750 0.449 0.759
0.250 0.173 0.946
0.750 0.827 0.054
0.750 0.949 0.741
0.750 0.216 0.631
0.750 0.716 0.869
0.250 0.784 0.369
0.250 0.284 0.131
0.750 0.534 0.216
0.750 0.677 0.557
0.250 0.466 0.784
0.750 0.177 0.943
0.250 0.323 0.443
0.250 0.823 0.057
0.750 0.034 0.284
0.250 0.966 0.716
```

Results
Total magnetization = 0.0 μB/f.u.
Symmetry = Pnma, No. 62
Formation energy = -0.48 eV/atom

(3)
A plane-wave DFT calculation with PBEsol was carried out for a relaxed structure of BeSb2As.

POSCAR file:
```
BeSb2As
1.0
-2.749 0.288 -2.083
-2.532 -2.878 2.943
-1.487 3.862 2.496
Be Sb As
1 2 1
direct
0.500 0.500 0.500
0.000 0.500 0.000
0.000 0.000 0.500
0.500 0.000 0.000
```

Results
Total magnetization = 0.0 μB/f.u.
Raw formation energy = 0.4927 eV per atom
Symmetry = P4/mmm, No. 123
ΔE to the lowest computed polymorph = 354 meV per atom

(4)
A plane-wave DFT calculation with PBEsol was carried out for a relaxed structure of KYScBe2.

POSCAR file:
```
KYScBe2
1.0
5.093 0.000 0.000
0.000 5.093 0.000
0.000 0.000 5.181
Be Y K Sc
2 1 1 1
direct
0.000 0.500 0.000
0.500 0.000 0.000
0.000 0.000 0.500
0.500 0.500 0.500
0.000 0.000 0.000
```

Results
Total magnetization = 0.0 μB/f.u.
Symmetry = P4/mmm, No. 123
Formation energy = 1.18 eV/atom